1.
Compound: CsHg
Source: Alexandria via LeMat-Bulk
Functional: PBE-GGA
Structure: relaxed

Output
The electronic total energy comes out at -0.65 eV per atom. The formation energy is -0.068 eV/atom.

Lattice parameters (Å, degrees): 9.746 9.746 9.746 109.47 109.47 109.47
Fractional positions:
Cs 0.000 0.000 0.591
Cs 0.000 0.591 0.000
Cs 0.409 0.409 0.409
Cs 0.591 0.000 0.000
Hg 0.000 0.000 0.206
Hg 0.000 0.206 0.000
Hg 0.206 0.000 0.000
Hg 0.794 0.794 0.794

2.
Compound: CsHg8
Source: Alexandria via LeMat-Bulk
Functional: PBE-GGA
Structure: relaxed

Output
The electronic total energy comes out at -0.48 eV per atom. The formation energy is -0.116 eV/atom.

Lattice parameters (Å, degrees): 8.147 8.147 8.147 95.57 95.57 143.70
Fractional positions:
Cs 0.000 0.000 0.000
Hg 0.000 0.349 0.349
Hg 0.000 0.651 0.651
Hg 0.315 0.315 0.630
Hg 0.315 0.685 0.000
Hg 0.349 0.000 0.349
Hg 0.651 0.000 0.651
Hg 0.685 0.315 0.000
Hg 0.685 0.685 0.370

3.
Compound: Cs5Hg4
Source: Alexandria via LeMat-Bulk
Functional: PBE-GGA
Structure: relaxed

Output
The electronic total energy comes out at -0.79 eV per atom. The formation energy is -0.182 eV/atom.

Lattice parameters (Å, degrees): 6.645 6.645 13.061 103.04 103.04 65.77
Fractional positions:
Cs 0.000 0.000 0.000
Cs 0.157 0.157 0.397
Cs 0.283 0.283 0.819
Cs 0.717 0.717 0.181
Cs 0.843 0.843 0.603
Hg 0.359 0.359 0.152
Hg 0.492 0.492 0.616
Hg 0.508 0.508 0.384
Hg 0.641 0.641 0.848

4.
Compound: CsHg
Source: Alexandria via LeMat-Bulk
Functional: PBE-GGA
Structure: relaxed

Output
The electronic total energy comes out at -0.77 eV per atom. The formation energy is -0.191 eV/atom.

Lattice parameters (Å, degrees): 12.571 12.571 5.456 90.00 90.00 120.00
Fractional positions:
Cs 0.122 0.406 0.250
Cs 0.283 0.878 0.250
Cs 0.406 0.283 0.750
Cs 0.594 0.717 0.250
Cs 0.717 0.122 0.750
Cs 0.878 0.594 0.750
Hg 0.051 0.171 0.750
Hg 0.120 0.949 0.750
Hg 0.171 0.120 0.250
Hg 0.829 0.880 0.750
Hg 0.880 0.051 0.250
Hg 0.949 0.829 0.250

5.
Compound: CsHg4
Source: Alexandria via LeMat-Bulk
Functional: PBE-GGA
Structure: relaxed

Output
For the offset from the most stable computed form, the calculation gives 319 meV per atom. The electronic total energy comes out at -0.30 eV per atom. The formation energy is 0.108 eV/atom.

Lattice parameters (Å, degrees): 7.721 7.721 7.721 90.00 90.00 90.00
Fractional positions:
Cs 0.000 0.000 0.000
Hg 0.000 0.000 0.500
Hg 0.000 0.500 0.000
Hg 0.500 0.000 0.000
Hg 0.500 0.500 0.500

6.
Compound: Cs3Hg11
Source: Alexandria via LeMat-Bulk
Functional: PBE-GGA
Structure: relaxed

Output
The electronic total energy comes out at -0.64 eV per atom. The formation energy is -0.221 eV/atom.

Lattice parameters (Å, degrees): 10.123 10.123 10.123 147.61 113.00 76.40
Fractional positions:
Cs 0.000 0.000 0.000
Cs 0.309 0.309 0.000
Cs 0.691 0.691 0.000
Hg 0.028 0.670 0.357
Hg 0.148 0.865 0.283
Hg 0.284 0.500 0.784
Hg 0.313 0.670 0.643
Hg 0.417 0.135 0.283
Hg 0.500 0.000 0.500
Hg 0.583 0.865 0.717
Hg 0.687 0.330 0.357
Hg 0.716 0.500 0.216
Hg 0.852 0.135 0.717
Hg 0.972 0.330 0.643

7.
Compound: CsHg
Source: Alexandria via LeMat-Bulk
Functional: PBE-GGA
Structure: relaxed

Output
The electronic total energy comes out at -0.77 eV per atom. The formation energy is -0.190 eV/atom.

Lattice parameters (Å, degrees): 7.307 7.307 7.510 90.00 90.00 76.43
Fractional positions:
Cs 0.019 0.338 0.250
Cs 0.338 0.019 0.750
Cs 0.662 0.981 0.250
Cs 0.981 0.662 0.750
Hg 0.221 0.779 0.250
Hg 0.500 0.500 0.000
Hg 0.500 0.500 0.500
Hg 0.779 0.221 0.750

8.
Compound: CsHg3
Source: Alexandria via LeMat-Bulk
Functional: PBE-GGA
Structure: relaxed

Output
The electronic total energy comes out at -0.67 eV per atom. The formation energy is -0.232 eV/atom.

Lattice parameters (Å, degrees): 7.936 7.936 5.645 90.00 90.00 120.00
Fractional positions:
Cs 0.333 0.667 0.250
Cs 0.667 0.333 0.750
Hg 0.139 0.277 0.750
Hg 0.139 0.861 0.750
Hg 0.277 0.139 0.250
Hg 0.723 0.861 0.750
Hg 0.861 0.139 0.250
Hg 0.861 0.723 0.250

Which of these has the highest electronic total energy? CsHg4

What is the formula in the third record? Cs5Hg4

Number 4 is which compound? CsHg

Which value of electronic total energy does entry 2 give? -0.48 eV per atom